No. 1
A crystal of SrNdCuS3 relaxed with PBEsol, computed with SCAN.

Its crystal system is orthorhombic. The calculation puts the total magnetization at 0.00 μB per formula unit. As for the total energy: -0.743 hartree per atom.

The space group is Pnma (No. 62) and the conventional cell measures 10.5249, 3.9531 and 12.7205 Å, with angles of 90.00, 90.00 and 90.00 degrees. The asymmetric unit holds Sr at (0.2085, 0.2500, 0.0038), Nd at (0.0172, 0.7500, 0.2700), Cu at (0.2320, 0.7500, 0.7772), S at (0.0501, 0.7500, 0.8795), S at (0.1088, 0.2500, 0.4025) and S at (0.2416, 0.2500, 0.6748).


No. 2
A crystal of Nd3Cu3Sb4 relaxed with PBEsol, computed with SCAN.

Its crystal system is cubic. The calculation puts the total magnetization at 0.00 μB per formula unit. As for the density of states at the Fermi level: 2.5 states/eV per cell. As for the total energy: -1.228 hartree per atom.

The space group is I-43d (No. 220) and the conventional cell measures 9.6160, 9.6160 and 9.6160 Å, with angles of 90.00, 90.00 and 90.00 degrees. The asymmetric unit holds Nd at (0.0000, 0.2500, 0.3750), Cu at (0.0000, 0.2500, 0.8750) and Sb at (0.0808, 0.0808, 0.0808).


No. 3
A crystal of NdCuSe2 relaxed with PBEsol, computed with SCAN.

Its crystal system is monoclinic. The calculation puts the total magnetization at 0.00 μB per formula unit. As for the total energy: -0.961 hartree per atom.

The space group is P2_1/c (No. 14) and the conventional cell measures 6.5742, 7.4043 and 7.1008 Å, with angles of 90.00, 96.29 and 90.00 degrees. The asymmetric unit holds Nd at (0.1920, 0.0460, 0.3003), Cu at (0.4386, 0.6634, 0.4543), Se at (0.0855, 0.7218, 0.4986) and Se at (0.3956, 0.1072, 0.7221).